## RbHoMo (GGA-PBE)

Data for a relaxed RbHoMo crystal.

The value obtained for the calculated volume is 35.6 Å³/atom. The excess energy over the best structure of this formula in the dataset is 0 meV per atom. As for the density: 5.38 Mg/m³.

The structure belongs to space group F-43m (No. 216); the cell edges are 7.534, 7.534 and 7.534 Å and the angles 90.00°, 90.00° and 90.00°. Symmetry generates all atoms from Rb at (0.000, 0.000, 0.000), Ho at (0.000, 0.000, 0.500) and Mo at (0.250, 0.250, 0.750).

## HoSbMo (GGA-PBE)

Data for a relaxed HoSbMo crystal.

The value obtained for the calculated volume is 24.3 Å³/atom. The excess energy over the best structure of this formula in the dataset is 0 meV per atom. As for the density: 8.72 Mg/m³.

The structure belongs to space group F-43m (No. 216); the cell edges are 6.631, 6.631 and 6.631 Å and the angles 90.00°, 90.00° and 90.00°. Symmetry generates all atoms from Ho at (0.000, 0.000, 0.000), Sb at (0.000, 0.000, 0.500) and Mo at (0.250, 0.250, 0.250).

- excess energy over the best structure of this formula in the dataset of number 1 (RbHoMo)?
  0 meV per atom